Entry 1:
DFT (GGA-PBE) results for HgGeRu after structural relaxation.

Space group = P4mm, No. 99
Energy above the most stable polymorph in this dataset = 41.2 meV per atom

```
HgGeRu
1.0
-1.0947 1.8490 -2.2416
-2.8376 -0.1644 1.2502
1.1799 4.6930 3.2950
Ge Hg Ru
1 1 1
Direct
0.0000 0.0000 0.9378
0.0000 0.0000 0.4843
0.5000 0.5000 0.1424
```


Entry 2:
DFT (GGA-PBE) results for HgGeRu3 after structural relaxation.

Space group = Pm-3m, No. 221
Energy above the most stable polymorph in this dataset = 1289.1 meV per atom

```
HgGeRu3
1.0
4.9929 0.0000 0.0000
0.0000 4.9929 0.0000
0.0000 0.0000 4.9929
Hg Ru Ge
1 3 1
Direct
0.0000 0.0000 0.0000
0.0000 0.5000 0.0000
0.0000 0.0000 0.5000
0.5000 0.0000 0.0000
0.5000 0.5000 0.5000
```


Entry 3:
DFT (GGA-PBE) results for HgGeRu2 after structural relaxation.

Space group = I-42d, No. 122
Energy above the most stable polymorph in this dataset = 318.9 meV per atom

```
HgGeRu2
1.0
4.0876 0.0000 0.0000
0.0000 4.0876 0.0000
2.0438 2.0438 9.1007
Ru Hg Ge
4 2 2
Direct
0.5355 0.1250 0.2500
0.3750 0.4645 0.7500
0.2145 0.6250 0.2500
0.8750 0.7855 0.7500
0.7500 0.2500 0.5000
0.0000 0.0000 0.0000
0.2500 0.7500 0.5000
0.5000 0.5000 0.0000
```


| no. | E_form (eV per atom) |
| --- | --- |
| 1 | 0.06 |
| 2 | 2.31 |
| 3 | 0.65 |